No. 1
VASP calculation (PBE) on an optimized crystal structure of PmYZnHg.

Cell and atoms, written as CIF:
```
data_PmYZnHg
_space_group_name_H-M_alt 'P 1'
_space_group_IT_number 1
_space_group_name_Hall 'P 1'
_cell_length_a 5.2437
_cell_length_b 5.2437
_cell_length_c 5.2437
_cell_angle_alpha 60.00
_cell_angle_beta 60.00
_cell_angle_gamma 60.00
loop_
_atom_site_label
_atom_site_type_symbol
_atom_site_fract_x
_atom_site_fract_y
_atom_site_fract_z
_atom_site_occupancy
Pm1 Pm 0.0000 0.0000 0.0000 1
Y1 Y 0.5000 0.5000 0.5000 1
Zn1 Zn 0.2500 0.2500 0.2500 1
Hg1 Hg 0.7500 0.7500 0.7500 1
```

Excess energy over the best structure of this formula in the dataset in eV/f.u.: 0.08
Crystal system: cubic
Calculated formation energy in meV/atom: -396



No. 2
VASP calculation (PBE) on an optimized crystal structure of Ba6Mg23In.

Cell and atoms, written as CIF:
```
data_Ba6Mg23In
_space_group_name_H-M_alt 'P 1'
_space_group_IT_number 1
_space_group_name_Hall 'P 1'
_cell_length_a 10.8571
_cell_length_b 10.8571
_cell_length_c 10.8571
_cell_angle_alpha 60.00
_cell_angle_beta 60.00
_cell_angle_gamma 60.00
loop_
_atom_site_label
_atom_site_type_symbol
_atom_site_fract_x
_atom_site_fract_y
_atom_site_fract_z
_atom_site_occupancy
Ba1 Ba 0.2242 0.2242 0.7758 1
Ba2 Ba 0.2242 0.7758 0.2242 1
Ba3 Ba 0.2242 0.7758 0.7758 1
Ba4 Ba 0.7758 0.2242 0.2242 1
Ba5 Ba 0.7758 0.2242 0.7758 1
Ba6 Ba 0.7758 0.7758 0.2242 1
Mg1 Mg 0.0000 0.0000 0.5000 1
Mg2 Mg 0.0000 0.5000 0.0000 1
Mg3 Mg 0.0000 0.5000 0.5000 1
Mg4 Mg 0.1287 0.6238 0.6238 1
Mg5 Mg 0.1757 0.1757 0.1757 1
Mg6 Mg 0.1757 0.1757 0.4728 1
Mg7 Mg 0.1757 0.4728 0.1757 1
Mg8 Mg 0.3762 0.3762 0.3762 1
Mg9 Mg 0.3762 0.3762 0.8713 1
Mg10 Mg 0.3762 0.8713 0.3762 1
Mg11 Mg 0.4728 0.1757 0.1757 1
Mg12 Mg 0.5000 0.0000 0.0000 1
Mg13 Mg 0.5000 0.0000 0.5000 1
Mg14 Mg 0.5000 0.5000 0.0000 1
Mg15 Mg 0.5000 0.5000 0.5000 1
Mg16 Mg 0.5272 0.8243 0.8243 1
Mg17 Mg 0.6238 0.1287 0.6238 1
Mg18 Mg 0.6238 0.6238 0.1287 1
Mg19 Mg 0.6238 0.6238 0.6238 1
Mg20 Mg 0.8243 0.5272 0.8243 1
Mg21 Mg 0.8243 0.8243 0.5272 1
Mg22 Mg 0.8243 0.8243 0.8243 1
Mg23 Mg 0.8713 0.3762 0.3762 1
In1 In 0.0000 0.0000 0.0000 1
```

Crystal system: cubic
Calculated formation energy in meV/atom: -66



No. 3
VASP calculation (PBE) on an optimized crystal structure of LiLa2HPt6.

Cell and atoms, written as CIF:
```
data_LiLa2HPt6
_space_group_name_H-M_alt 'P 1'
_space_group_IT_number 1
_space_group_name_Hall 'P 1'
_cell_length_a 7.1508
_cell_length_b 7.1508
_cell_length_c 7.1508
_cell_angle_alpha 46.57
_cell_angle_beta 46.57
_cell_angle_gamma 46.57
loop_
_atom_site_label
_atom_site_type_symbol
_atom_site_fract_x
_atom_site_fract_y
_atom_site_fract_z
_atom_site_occupancy
Li1 Li 0.0000 0.0000 0.0000 1
La1 La 0.2819 0.2819 0.2819 1
La2 La 0.7181 0.7181 0.7181 1
H1 H 0.5000 0.5000 0.5000 1
Pt1 Pt 0.2241 0.7325 0.7325 1
Pt2 Pt 0.2675 0.2675 0.7759 1
Pt3 Pt 0.2675 0.7759 0.2675 1
Pt4 Pt 0.7325 0.2241 0.7325 1
Pt5 Pt 0.7325 0.7325 0.2241 1
Pt6 Pt 0.7759 0.2675 0.2675 1
```

E_tot in eV per atom: -5.88
Crystal system: trigonal



No. 4
VASP calculation (PBE) on an optimized crystal structure of PrMgGaPt.

Cell and atoms, written as CIF:
```
data_PrMgGaPt
_space_group_name_H-M_alt 'P 1'
_space_group_IT_number 1
_space_group_name_Hall 'P 1'
_cell_length_a 4.9338
_cell_length_b 4.9338
_cell_length_c 4.9338
_cell_angle_alpha 60.00
_cell_angle_beta 60.00
_cell_angle_gamma 60.00
loop_
_atom_site_label
_atom_site_type_symbol
_atom_site_fract_x
_atom_site_fract_y
_atom_site_fract_z
_atom_site_occupancy
Pr1 Pr 0.0000 0.0000 0.0000 1
Mg1 Mg 0.5000 0.5000 0.5000 1
Ga1 Ga 0.2500 0.2500 0.2500 1
Pt1 Pt 0.7500 0.7500 0.7500 1
```

Crystal system: cubic
Calculated formation energy in meV/atom: -678



No. 5
VASP calculation (PBE) on an optimized crystal structure of Si2MoSCl.

Cell and atoms, written as CIF:
```
data_Si2MoSCl
_space_group_name_H-M_alt 'P 1'
_space_group_IT_number 1
_space_group_name_Hall 'P 1'
_cell_length_a 4.9066
_cell_length_b 4.9066
_cell_length_c 4.4580
_cell_angle_alpha 90.00
_cell_angle_beta 90.00
_cell_angle_gamma 90.00
loop_
_atom_site_label
_atom_site_type_symbol
_atom_site_fract_x
_atom_site_fract_y
_atom_site_fract_z
_atom_site_occupancy
Si1 Si 0.0000 0.5000 0.0000 1
Si2 Si 0.5000 0.0000 0.0000 1
Mo1 Mo 0.0000 0.0000 0.0000 1
S1 S 0.5000 0.5000 0.5000 1
Cl1 Cl 0.0000 0.0000 0.5000 1
```

E_tot in eV per atom: -4.93
Crystal system: tetragonal



No. 6
VASP calculation (PBE) on an optimized crystal structure of CaCo3Si.

Cell and atoms, written as CIF:
```
data_CaCo3Si
_space_group_name_H-M_alt 'P 1'
_space_group_IT_number 1
_space_group_name_Hall 'P 1'
_cell_length_a 4.2853
_cell_length_b 4.2853
_cell_length_c 4.2853
_cell_angle_alpha 90.00
_cell_angle_beta 90.00
_cell_angle_gamma 90.00
loop_
_atom_site_label
_atom_site_type_symbol
_atom_site_fract_x
_atom_site_fract_y
_atom_site_fract_z
_atom_site_occupancy
Ca1 Ca 0.0000 0.0000 0.0000 1
Co1 Co 0.0000 0.5000 0.5000 1
Co2 Co 0.5000 0.0000 0.5000 1
Co3 Co 0.5000 0.5000 0.0000 1
Si1 Si 0.5000 0.5000 0.5000 1
```

Excess energy over the best structure of this formula in the dataset in eV/f.u.: 0.00
Crystal system: cubic